KCaTc2 | Alexandria | meta-GGA SCAN | single point on PBEsol structure; E = -20.88 eV/atom; ΔH_f (0 K) = 1.144 eV per atom; crystal system = tetragonal; space-group type = I4/mmm (139)
1.0
3.7314 0.0000 0.0000
0.0000 3.7314 0.0000
-1.8657 -1.8657 5.3153
Tc K Ca
2 1 1
direct
0.2500 0.7500 0.5000
0.7500 0.2500 0.5000
0.0000 0.0000 0.0000
0.5000 0.5000 0.0000